Entry 1:
OsOF3 | GGA-PBE | optimized geometry

Energy above the lowest structure with this stoichiometry ... 0.0 meV/atom

a b c (Å): 7.6808 5.3897 5.3467
angles (deg): 90.00 90.00 90.00
Space group Cmcm (No. 63)
Symmetry-distinct sites (fractional):
Os: 0.0000 0.2216 0.2500 x4
O: 0.0000 0.0000 0.0000 x4
F: 0.0000 0.5000 0.0000 x4
F: 0.2468 0.2637 0.2500 x8

Entry 2:
Ho3AlIn2Ge2Pt | GGA-PBE | optimized geometry

DFT total energy ... -5.033 eV per atom

a b c (Å): 4.2871 12.7708 7.0284
angles (deg): 90.00 90.00 90.00
Space group Amm2 (No. 38)
Symmetry-distinct sites (fractional):
Ho: 0.0000 0.0000 0.0000 x2
Ho: 0.0000 0.2067 0.6171 x4
Al: 0.5000 0.0000 0.6559 x2
In: 0.5000 0.1222 0.2974 x4
Ge: 0.5000 0.1585 0.9043 x4
Pt: 0.0000 0.0000 0.4485 x2

Entry 3:
PmBIr | GGA-PBE | optimized geometry

Energy above the lowest structure with this stoichiometry ... 386.9 meV/atom

a b c (Å): 6.2141 6.2141 6.2141
angles (deg): 90.00 90.00 90.00
Space group F-43m (No. 216)
Symmetry-distinct sites (fractional):
Pm: 0.0000 0.0000 0.0000 x4
B: 0.0000 0.0000 0.5000 x4
Ir: 0.2500 0.2500 0.2500 x4

no.,total moment (μB per atom)
1,0.000
2,0.001
3,0.001